{"formula": "Na2W3O10", "functional": "PBEsol", "state": "relaxed", "sg": "No. 15", "total_magnetization_mub_per_cell": 0.00, "e_form_raw_ev_per_atom": -2.07, "cell": [[6.942, -4.074, 0.000], [6.942, 4.074, 0.000], [-1.264, 0.000, 7.764]], "species": ["Na", "Na", "Na", "Na", "W", "W", "W", "W", "W", "W", "O", "O", "O", "O", "O", "O", "O", "O", "O", "O", "O", "O", "O", "O", "O", "O", "O", "O", "O", "O"], "frac_coords": [[0.107, 0.240, 0.171], [0.240, 0.107, 0.671], [0.760, 0.893, 0.329], [0.893, 0.760, 0.829], [0.186, 0.814, 0.250], [0.306, 0.482, 0.512], [0.482, 0.306, 0.012], [0.518, 0.694, 0.988], [0.694, 0.518, 0.488], [0.814, 0.186, 0.750], [0.012, 0.119, 0.901], [0.119, 0.012, 0.401], [0.119, 0.645, 0.349], [0.204, 0.573, 0.707], [0.276, 0.282, 0.951], [0.282, 0.276, 0.451], [0.355, 0.881, 0.151], [0.365, 0.575, 0.080], [0.425, 0.635, 0.420], [0.427, 0.796, 0.793], [0.573, 0.204, 0.207], [0.575, 0.365, 0.580], [0.635, 0.425, 0.920], [0.645, 0.119, 0.849], [0.718, 0.724, 0.549], [0.724, 0.718, 0.049], [0.796, 0.427, 0.293], [0.881, 0.355, 0.651], [0.881, 0.988, 0.599], [0.988, 0.881, 0.099]]}